# 1
# Pr2In2NiPt3

Crystalline Pr2In2NiPt3 at its relaxed geometry (GGA-PBE, OQMD).

calculated volume: 21.59 Å³ per atom

Unit cell a=4.6364 b=4.6364 c=9.2772 alpha=90.00 beta=90.00 gamma=120.00
Atoms (fractional coordinates):
In (0.0000, 0.0000, 0.0054)
In (0.0000, 0.0000, 0.4991)
Ni (0.3333, 0.6667, 0.0805)
Pr (0.6667, 0.3333, 0.2477)
Pr (0.3333, 0.6667, 0.7535)
Pt (0.3333, 0.6667, 0.4040)
Pt (0.6667, 0.3333, 0.5877)
Pt (0.6667, 0.3333, 0.9221)

---

# 2
# Pr4InSi4Ni2

Crystalline Pr4InSi4Ni2 at its relaxed geometry (GGA-PBE, OQMD).

calculated volume: 21.39 Å³ per atom

Unit cell a=8.2720 b=8.2720 c=7.2206 alpha=107.70 beta=107.70 gamma=30.11
Atoms (fractional coordinates):
In (0.0000, 0.0000, 0.0000)
Ni (0.7889, 0.7889, 0.3554)
Ni (0.2111, 0.2111, 0.6446)
Pr (0.3441, 0.3441, 0.0610)
Pr (0.5892, 0.5892, 0.3771)
Pr (0.4108, 0.4108, 0.6229)
Pr (0.6559, 0.6559, 0.9390)
Si (0.2177, 0.2177, 0.3065)
Si (0.9366, 0.9366, 0.3510)
Si (0.0634, 0.0634, 0.6490)
Si (0.7823, 0.7823, 0.6935)

---

Number 1: uncorrected energy -5.6037 eV/atom. Number 2: uncorrected energy -5.6728 eV/atom.